# Na4AcBi2 PBE-GGA optimized geometry
data_Na4AcBi2
_chemical_formula_sum 'Na8 Ac2 Bi4'
_cell_length_a 9.474
_cell_length_b 9.474
_cell_length_c 5.090
_cell_angle_alpha 90.00
_cell_angle_beta 90.00
_cell_angle_gamma 90.00
_symmetry_space_group_name_H-M 'P 42/m n m'
_symmetry_Int_Tables_number 136
_symmetry_space_group_name_Hall '-P 4n 2n'
loop_
_atom_site_label
_atom_site_type_symbol
_atom_site_fract_x
_atom_site_fract_y
_atom_site_fract_z
Na1 Na 0.106 0.347 0.000
Ac1 Ac 0.000 0.000 0.500
Bi1 Bi 0.191 0.809 0.000
# **Crystal system**: tetragonal
# **Final energy**: -39.8 eV per cell